Arrangement P

Compound: GeWI2O
Source: the Alexandria database
Functional: PBE+U
Structure: optimized geometry

The space group is P4/mmm (No. 123) and the conventional cell measures 5.9139, 5.9139 and 3.7548 Å, with angles of 90.00, 90.00 and 90.00 degrees. The inequivalent atoms are Ge at (0.0000, 0.0000, 0.0000), W at (0.5000, 0.5000, 0.5000), I at (0.0000, 0.5000, 0.0000) and O at (0.0000, 0.0000, 0.5000).

---

Arrangement Q

Compound: GeWI2O
Source: the Alexandria database
Functional: PBE+U
Structure: optimized geometry

The space group is P4/mmm (No. 123) and the conventional cell measures 5.9779, 5.9779 and 3.8821 Å, with angles of 90.00, 90.00 and 90.00 degrees. The inequivalent atoms are Ge at (0.0000, 0.0000, 0.0000), W at (0.5000, 0.5000, 0.5000), I at (0.0000, 0.5000, 0.5000) and O at (0.5000, 0.5000, 0.0000).

---

The least stable of the structures above is arrangement P, whereas arrangement Q is the most stable.